[1]
Compound: Sc2Zn4Cd
Source: Alexandria
Functional: PBE
Structure: optimized geometry

a b c (Å): 7.9382 7.9382 7.9382
angles (deg): 33.63 33.63 33.63
Closest atoms and distances in Å follow each position.
Element x y z (fractional)
Sc1 0.2472 0.2472 0.2472  8 Zn 2.74-2.93
Sc2 0.7528 0.7528 0.7528  8 Zn 2.74-2.93
Zn1 0.1166 0.1166 0.1166  4 Sc 2.74-2.93, 3 Cd 2.88
Zn2 0.3705 0.3705 0.3705  4 Sc 2.77-2.87, 1 Cd 2.91
Zn3 0.6295 0.6295 0.6295  4 Sc 2.77-2.87, 1 Cd 2.91
Zn4 0.8834 0.8834 0.8834  4 Sc 2.74-2.93, 3 Cd 2.88
Cd1 0.5000 0.5000 0.5000  8 Zn 2.88-2.91, 6 Sc 3.21

Output
Its size of the total moment is 0.000 μB/atom. The total energy is -2.731 eV/atom. Its space group is No. 166.



[2]
Compound: ScZnCd2
Source: Alexandria
Functional: PBE
Structure: optimized geometry

a b c (Å): 3.1505 3.2282 7.9152
angles (deg): 90.00 90.00 90.00
Closest atoms and distances in Å follow each position.
Element x y z (fractional)
Sc1 0.0000 0.0000 0.0000  8 Cd 3.10, 4 Sc 3.15-3.23
Zn1 0.0000 0.0000 0.5000  8 Cd 2.90, 4 Zn 3.15-3.23
Cd1 0.5000 0.5000 0.2693  4 Zn 2.90, 4 Sc 3.10, 4 Cd 3.15-3.23
Cd2 0.5000 0.5000 0.7307  4 Zn 2.90, 4 Sc 3.10, 4 Cd 3.15-3.23

Output
Its size of the total moment is 0.098 μB/atom. The total energy is -2.490 eV/atom. Its space group is No. 47.



[3]
Compound: ScZnCd2
Source: Alexandria
Functional: PBE
Structure: optimized geometry

a b c (Å): 5.2233 5.2233 5.4386
angles (deg): 104.08 104.08 35.35
Closest atoms and distances in Å follow each position.
Element x y z (fractional)
Sc1 0.0000 0.0000 0.0000  3 Zn 2.89-3.08, 7 Cd 3.10-3.20, 2 Sc 3.17
Zn1 0.2560 0.2560 0.7798  6 Cd 2.88-3.17, 3 Sc 2.89-3.08, 2 Zn 3.17
Cd1 0.5215 0.5215 0.5196  2 Zn 2.88, 5 Cd 3.01-3.17, 4 Sc 3.11-3.20
Cd2 0.7622 0.7622 0.2787  5 Cd 3.01-3.17, 3 Sc 3.10-3.12, 4 Zn 3.13-3.17

Output
Its size of the total moment is 0.000 μB/atom. The total energy is -2.466 eV/atom. Its space group is No. 8.